The following is a DFT calculation (PBE-GGA) of a relaxed structure of In5I2Br3.

The structure in CIF format:
```
data_In5I2Br3
_space_group_name_H-M_alt 'P 1'
_space_group_IT_number 1
_cell_length_a 9.3549
_cell_length_b 9.3549
_cell_length_c 12.4592
_cell_angle_alpha 115.13
_cell_angle_beta 115.13
_cell_angle_gamma 29.04
loop_
_space_group_symop_operation_xyz
'x,y,z'
loop_
_atom_site_label
_atom_site_type_symbol
_atom_site_fract_x
_atom_site_fract_y
_atom_site_fract_z
In1 In 0.0000 0.0000 0.0000
In2 In 0.1716 0.1716 0.8316
In3 In 0.3921 0.3921 0.5255
In4 In 0.6079 0.6079 0.4745
In5 In 0.8284 0.8284 0.1684
I1 I 0.4970 0.4970 0.2068
I2 I 0.5030 0.5030 0.7932
Br1 Br 0.0000 0.0000 0.5000
Br2 Br 0.1972 0.1972 0.0897
Br3 Br 0.8028 0.8028 0.9103
```

Properties
For the magnetic moment, the calculation gives 0.00 μB/atom. Its space group is No. 12. The crystal system is monoclinic. The calculation puts the uncorrected formation energy at -0.508 eV/atom.